The following is a DFT calculation (GGA+U) of an optimized crystal structure of MgPb2WO6.

Cell and atoms, written as POSCAR:
```
MgPb2WO6
1.0
-5.596 -1.484 -0.238
2.079 -7.508 -2.068
0.318 -2.993 11.184
Mg Pb W O
4 8 4 24
Direct
0.244 0.750 0.379
0.744 0.250 0.121
0.756 0.250 0.621
0.256 0.750 0.879
0.708 0.495 0.357
0.208 0.505 0.143
0.292 0.995 0.643
0.792 0.005 0.857
0.292 0.505 0.643
0.792 0.495 0.857
0.708 0.005 0.357
0.208 0.995 0.143
0.746 0.750 0.117
0.246 0.250 0.383
0.254 0.250 0.883
0.754 0.750 0.617
0.963 0.750 0.752
0.463 0.250 0.748
0.037 0.250 0.248
0.537 0.750 0.252
0.479 0.750 0.735
0.979 0.250 0.765
0.521 0.250 0.265
0.021 0.750 0.235
0.996 0.750 0.510
0.496 0.250 0.990
0.004 0.250 0.490
0.504 0.750 0.010
0.515 0.750 0.501
0.015 0.250 0.999
0.485 0.250 0.499
0.985 0.750 0.001
0.770 0.508 0.133
0.270 0.492 0.367
0.230 0.008 0.867
0.730 0.992 0.633
0.230 0.492 0.867
0.730 0.508 0.633
0.770 0.992 0.133
0.270 0.008 0.367
```

Output
M_tot: 0.0 μB per formula unit
VASP energy: -6.452 eV/atom
E above lowest polymorph: 1 meV/atom
N(E_F): 0.000 states/eV/f.u.